[1]
The following is a DFT calculation (PBE) of a relaxed La4Tm3Mg crystal.

Structure (POSCAR):
```
La4Tm3Mg
1.0
-1.762 0.945 -3.164
-3.208 0.362 1.894
3.963 18.205 3.230
Tm La Mg
3 4 1
direct
0.500 0.500 0.245
0.500 0.500 0.755
0.500 0.500 0.500
0.000 0.000 0.627
0.000 0.000 0.884
0.000 0.000 0.373
0.000 0.000 0.116
0.500 0.500 0.000
```

Calculated values
- Final energy: -4.337 eV per atom
- Crystal system: tetragonal
- Spin magnetization: 0.000 μB/atom

[2]
The following is a DFT calculation (PBE) of a relaxed Tb2ThCo6 crystal.

Structure (POSCAR):
```
Tb2ThCo6
1.0
4.025 0.000 0.000
0.000 5.838 -3.371
0.000 0.000 6.741
Th Co Tb
1 6 2
direct
0.000 0.000 0.000
0.500 0.334 0.000
0.500 0.000 0.334
0.500 0.666 0.666
0.500 0.334 0.334
0.500 0.666 0.000
0.500 0.000 0.666
0.000 0.333 0.667
0.000 0.667 0.333
```

Calculated values
- Final energy: -6.781 eV per atom
- Crystal system: hexagonal
- Spin magnetization: 0.386 μB/atom

[3]
The following is a DFT calculation (PBE) of a relaxed Er6In2Ag crystal.

Structure (POSCAR):
```
Er6In2Ag
1.0
5.052 0.000 -0.196
0.000 7.248 0.000
-2.234 -3.624 7.691
Er In Ag
6 2 1
direct
0.500 0.239 0.000
0.838 0.081 0.675
0.838 0.594 0.675
0.162 0.406 0.325
0.162 0.919 0.325
0.500 0.761 0.000
0.334 0.333 0.667
0.666 0.667 0.333
0.000 0.000 0.000
```

Calculated values
- Final energy: -4.008 eV per atom
- Crystal system: orthorhombic
- Spin magnetization: 0.000 μB/atom

[4]
The following is a DFT calculation (PBE) of a relaxed MnCo2Os crystal.

Structure (POSCAR):
```
MnCo2Os
1.0
-1.407 -3.668 -2.798
3.093 -1.450 -3.404
-0.699 0.633 4.730
Mn Co Os
1 2 1
direct
0.506 0.506 0.000
0.743 0.243 0.500
0.995 0.995 0.000
0.256 0.756 0.500
```

Calculated values
- Final energy: -8.459 eV per atom
- Crystal system: orthorhombic
- Spin magnetization: 1.441 μB/atom
- ΔE to the lowest computed polymorph: 134.3 meV/atom

The highest spin magnetization belongs to which entry?
MnCo2Os

Which of these has the highest final energy?
Er6In2Ag